Be2SiRh: optimized geometry, PBE-GGA.

Unit cell a=4.903 b=4.899 c=4.341 alpha=90.00 beta=124.25 gamma=90.00
Fractional coordinates of all 8 atoms:
Be  0.000  0.000  0.000
Be  0.000  0.250  0.500
Be  0.500  0.500  0.000
Be  0.500  0.750  0.500
Si  0.000  0.501  0.000
Si  0.500  0.001  0.000
Rh  0.000  0.750  0.500
Rh  0.500  0.250  0.500

Calculated values
Symmetry: No. 5
Formation energy without anion corrections in eV per atom: -0.431
Energy above the lowest structure with this stoichiometry in meV per atom: 0.0

Be2SiRh: optimized geometry, PBE-GGA.

Unit cell a=5.535 b=5.535 c=5.535 alpha=90.00 beta=90.00 gamma=90.00
Fractional coordinates of all 16 atoms:
Be  0.250  0.250  0.250
Be  0.250  0.250  0.750
Be  0.250  0.750  0.250
Be  0.250  0.750  0.750
Be  0.750  0.250  0.250
Be  0.750  0.250  0.750
Be  0.750  0.750  0.250
Be  0.750  0.750  0.750
Si  0.000  0.000  0.000
Si  0.000  0.500  0.500
Si  0.500  0.000  0.500
Si  0.500  0.500  0.000
Rh  0.000  0.000  0.500
Rh  0.000  0.500  0.000
Rh  0.500  0.000  0.000
Rh  0.500  0.500  0.500

Calculated values
Symmetry: No. 225
Formation energy without anion corrections in eV per atom: -0.198
Energy above the lowest structure with this stoichiometry in meV per atom: 232.5

Be2SiRh: optimized geometry, PBE-GGA.

Unit cell a=2.773 b=4.626 c=7.430 alpha=90.00 beta=90.00 gamma=90.00
Fractional coordinates of all 8 atoms:
Be  0.000  0.000  0.240
Be  0.000  0.000  0.760
Be  0.500  0.500  0.240
Be  0.500  0.500  0.760
Si  0.000  0.500  0.500
Si  0.500  0.000  0.500
Rh  0.000  0.500  0.000
Rh  0.500  0.000  0.000

Calculated values
Symmetry: No. 65
Formation energy without anion corrections in eV per atom: 0.081
Energy above the lowest structure with this stoichiometry in meV per atom: 511.7

BeSi2Rh: optimized geometry, PBE-GGA.

Unit cell a=7.948 b=2.830 c=4.418 alpha=90.00 beta=95.73 gamma=90.00
Fractional coordinates of all 8 atoms:
Be  0.000  0.000  0.000
Be  0.500  0.500  0.000
Si  0.242  0.000  0.758
Si  0.258  0.500  0.242
Si  0.742  0.500  0.758
Si  0.758  0.000  0.242
Rh  0.000  0.500  0.500
Rh  0.500  0.000  0.500

Calculated values
Symmetry: No. 12
Formation energy without anion corrections in eV per atom: -0.245
Energy above the lowest structure with this stoichiometry in meV per atom: 27.9

Be2SiRh: optimized geometry, PBE-GGA.

Unit cell a=5.587 b=5.587 c=5.587 alpha=90.00 beta=90.00 gamma=90.00
Fractional coordinates of all 16 atoms:
Be  0.000  0.000  0.000
Be  0.000  0.500  0.500
Be  0.250  0.250  0.250
Be  0.250  0.750  0.750
Be  0.500  0.000  0.500
Be  0.500  0.500  0.000
Be  0.750  0.250  0.750
Be  0.750  0.750  0.250
Si  0.250  0.250  0.750
Si  0.250  0.750  0.250
Si  0.750  0.250  0.250
Si  0.750  0.750  0.750
Rh  0.000  0.000  0.500
Rh  0.000  0.500  0.000
Rh  0.500  0.000  0.000
Rh  0.500  0.500  0.500

Calculated values
Symmetry: No. 216
Formation energy without anion corrections in eV per atom: -0.269
Energy above the lowest structure with this stoichiometry in meV per atom: 162.2

BeSiRh: optimized geometry, PBE-GGA.

Unit cell a=2.756 b=2.756 c=5.598 alpha=90.00 beta=90.00 gamma=120.00
Fractional coordinates of all 3 atoms:
Be  0.000  0.000  0.000
Si  0.333  0.667  0.666
Rh  0.667  0.333  0.324

Calculated values
Symmetry: No. 156
Formation energy without anion corrections in eV per atom: -0.198
Energy above the lowest structure with this stoichiometry in meV per atom: 381.6

Be2SiRh: optimized geometry, PBE-GGA.

Unit cell a=3.478 b=3.478 c=7.142 alpha=90.00 beta=90.00 gamma=90.00
Fractional coordinates of all 8 atoms:
Be  0.000  0.500  0.250
Be  0.000  0.500  0.750
Be  0.500  0.000  0.250
Be  0.500  0.000  0.750
Si  0.000  0.000  0.000
Si  0.500  0.500  0.500
Rh  0.000  0.000  0.500
Rh  0.500  0.500  0.000

Calculated values
Symmetry: No. 139
Formation energy without anion corrections in eV per atom: -0.407
Energy above the lowest structure with this stoichiometry in meV per atom: 23.4

Be2SiRh: optimized geometry, PBE-GGA.

Unit cell a=2.719 b=2.719 c=22.086 alpha=90.00 beta=90.00 gamma=120.00
Fractional coordinates of all 12 atoms:
Be  0.000  0.000  0.245
Be  0.000  0.000  0.755
Be  0.333  0.667  0.422
Be  0.333  0.667  0.911
Be  0.667  0.333  0.089
Be  0.667  0.333  0.578
Si  0.000  0.000  0.000
Si  0.333  0.667  0.667
Si  0.667  0.333  0.333
Rh  0.000  0.000  0.500
Rh  0.333  0.667  0.167
Rh  0.667  0.333  0.833

Calculated values
Symmetry: No. 166
Formation energy without anion corrections in eV per atom: 0.031
Energy above the lowest structure with this stoichiometry in meV per atom: 461.4

BeSiRh: optimized geometry, PBE-GGA.

Unit cell a=3.041 b=3.041 c=7.526 alpha=90.00 beta=90.00 gamma=90.00
Fractional coordinates of all 6 atoms:
Be  0.000  0.000  0.000
Be  0.500  0.500  0.500
Si  0.000  0.000  0.334
Si  0.500  0.500  0.834
Rh  0.000  0.000  0.665
Rh  0.500  0.500  0.165

Calculated values
Symmetry: No. 107
Formation energy without anion corrections in eV per atom: -0.579
Energy above the lowest structure with this stoichiometry in meV per atom: 0.0

BeSi2Rh: optimized geometry, PBE-GGA.

Unit cell a=3.661 b=3.661 c=7.373 alpha=90.00 beta=90.00 gamma=90.00
Fractional coordinates of all 8 atoms:
Be  0.000  0.000  0.000
Be  0.500  0.500  0.500
Si  0.000  0.500  0.250
Si  0.000  0.500  0.750
Si  0.500  0.000  0.250
Si  0.500  0.000  0.750
Rh  0.000  0.000  0.500
Rh  0.500  0.500  0.000

Calculated values
Symmetry: No. 139
Formation energy without anion corrections in eV per atom: -0.082
Energy above the lowest structure with this stoichiometry in meV per atom: 191.4

BeSiRh4: optimized geometry, PBE-GGA.

Unit cell a=3.908 b=3.908 c=5.508 alpha=90.00 beta=90.00 gamma=90.00
Fractional coordinates of all 6 atoms:
Be  0.000  0.000  0.000
Si  0.500  0.500  0.500
Rh  0.000  0.500  0.244
Rh  0.000  0.500  0.756
Rh  0.500  0.000  0.244
Rh  0.500  0.000  0.756

Calculated values
Symmetry: No. 123
Formation energy without anion corrections in eV per atom: -0.367
Energy above the lowest structure with this stoichiometry in meV per atom: 0.0

BeSi3Rh: optimized geometry, PBE-GGA.

Unit cell a=4.172 b=4.172 c=4.172 alpha=90.00 beta=90.00 gamma=90.00
Fractional coordinates of all 5 atoms:
Be  0.000  0.000  0.000
Si  0.000  0.000  0.500
Si  0.000  0.500  0.000
Si  0.500  0.000  0.000
Rh  0.500  0.500  0.500

Calculated values
Symmetry: No. 221
Formation energy without anion corrections in eV per atom: 0.679
Energy above the lowest structure with this stoichiometry in meV per atom: 0.0

BeSi2Rh: optimized geometry, PBE-GGA.

Unit cell a=5.780 b=5.780 c=8.078 alpha=90.00 beta=90.00 gamma=90.00
Fractional coordinates of all 16 atoms:
Be  0.000  0.000  0.000
Be  0.000  0.500  0.250
Be  0.500  0.000  0.750
Be  0.500  0.500  0.500
Si  0.238  0.250  0.125
Si  0.250  0.738  0.375
Si  0.250  0.762  0.875
Si  0.262  0.250  0.625
Si  0.738  0.750  0.625
Si  0.750  0.238  0.875
Si  0.750  0.262  0.375
Si  0.762  0.750  0.125
Rh  0.000  0.000  0.500
Rh  0.000  0.500  0.750
Rh  0.500  0.000  0.250
Rh  0.500  0.500  0.000

Calculated values
Symmetry: No. 122
Formation energy without anion corrections in eV per atom: 0.334
Energy above the lowest structure with this stoichiometry in meV per atom: 607.4

BeSi2Rh2: optimized geometry, PBE-GGA.

Unit cell a=6.235 b=6.235 c=3.427 alpha=90.00 beta=90.00 gamma=90.00
Fractional coordinates of all 10 atoms:
Be  0.000  0.000  0.000
Be  0.500  0.500  0.000
Si  0.144  0.356  0.500
Si  0.356  0.856  0.500
Si  0.644  0.144  0.500
Si  0.856  0.644  0.500
Rh  0.160  0.660  0.000
Rh  0.340  0.160  0.000
Rh  0.660  0.840  0.000
Rh  0.840  0.340  0.000

Calculated values
Symmetry: No. 127
Formation energy without anion corrections in eV per atom: -0.420
Energy above the lowest structure with this stoichiometry in meV per atom: 0.0

BeSi2Rh: optimized geometry, PBE-GGA.

Unit cell a=4.820 b=7.172 c=2.870 alpha=90.00 beta=90.00 gamma=90.00
Fractional coordinates of all 8 atoms:
Be  0.000  0.000  0.000
Be  0.500  0.500  0.000
Si  0.250  0.250  0.500
Si  0.250  0.750  0.500
Si  0.750  0.250  0.500
Si  0.750  0.750  0.500
Rh  0.000  0.500  0.000
Rh  0.500  0.000  0.000

Calculated values
Symmetry: No. 65
Formation energy without anion corrections in eV per atom: -0.144
Energy above the lowest structure with this stoichiometry in meV per atom: 128.9